# 1
Material: CoPt2
Method: DFT, PBE-GGA
State: relaxed

abc: 4.634 4.251 2.704
angles: 98.89 90.00 123.03
Element x y z (fractional)
1 Pt 0.676 0.352 0.292
2 Pt 0.324 0.648 0.708
3 Co 0.000 0.000 0.000


# 2
Material: CoPt2
Method: DFT, PBE-GGA
State: relaxed

abc: 4.094 4.094 4.094
angles: 60.00 60.00 60.00
Element x y z (fractional)
1 Pt 0.750 0.750 0.750
2 Pt 0.250 0.250 0.250
3 Co 0.000 0.000 0.000


no.,energy of formation (eV per atom),magnetization (μB per formula unit),Fermi-level density of states (states/eV/cell)
1,0.045,2.54,4.46
2,0.194,3.18,4.75